Entry 1:
Entry from the Alexandria database: a relaxed Tb7Hg2Te2 crystal (PBE-GGA).

Lattice parameters (Å, degrees): 4.320 15.419 9.708 90.00 90.00 90.00
Space group Imm2 (No. 44)
Asymmetric unit:
Tb 0.000 0.000 0.000 [2 per cell]
Tb 0.000 0.125 0.597 [4 per cell]
Tb 0.000 0.316 0.383 [4 per cell]
Tb 0.000 0.363 0.753 [4 per cell]
Hg 0.000 0.234 0.081 [4 per cell]
Te 0.000 0.000 0.342 [2 per cell]
Te 0.000 0.500 0.242 [2 per cell]

* raw total energy: -4.24 eV/atom

Entry 2:
Entry from the Alexandria database: a relaxed Tb5HgTe5 crystal (PBE-GGA).

Lattice parameters (Å, degrees): 13.805 6.191 8.665 90.00 108.47 90.00
Space group C2/m (No. 12)
Asymmetric unit:
Tb 0.000 0.000 0.000 [2 per cell]
Tb 0.164 0.500 0.332 [4 per cell]
Tb 0.164 0.500 0.833 [4 per cell]
Hg 0.000 0.500 0.000 [2 per cell]
Te 0.000 0.500 0.500 [2 per cell]
Te 0.165 0.000 0.828 [4 per cell]
Te 0.169 0.000 0.337 [4 per cell]

* raw total energy: -4.77 eV/atom

Entry 3:
Entry from the Alexandria database: a relaxed Tb6HgTe5 crystal (PBE-GGA).

Lattice parameters (Å, degrees): 7.601 13.121 7.567 90.00 109.41 90.00
Space group C2/m (No. 12)
Asymmetric unit:
Tb 0.237 0.000 0.254 [4 per cell]
Tb 0.239 0.160 0.739 [8 per cell]
Hg 0.000 0.000 0.500 [2 per cell]
Te 0.000 0.174 0.000 [4 per cell]
Te 0.000 0.336 0.500 [4 per cell]
Te 0.000 0.500 0.000 [2 per cell]

* raw total energy: -4.85 eV/atom

Entry 4:
Entry from the Alexandria database: a relaxed Tb2HgTe crystal (PBE-GGA).

Lattice parameters (Å, degrees): 4.0584 4.0584 24.7531 90.00 90.00 120.00
Space group R3m (No. 160, hexagonal axes)
Asymmetric unit:
Tb 0.0000 0.0000 0.0000 [3 per cell]
Tb 0.0000 0.0000 0.1682 [3 per cell]
Hg 0.0000 0.0000 0.4170 [3 per cell]
Te 0.0000 0.0000 0.5852 [3 per cell]

* raw total energy: -3.97 eV/atom

Entry 5:
Entry from the Alexandria database: a relaxed Tb2HgTe crystal (PBE-GGA).

Lattice parameters (Å, degrees): 3.890 3.890 7.052 90.00 90.00 90.00
Space group P4/mmm (No. 123)
Asymmetric unit:
Tb 0.000 0.000 0.250 [2 per cell]
Hg 0.500 0.500 0.000 [1 per cell]
Te 0.500 0.500 0.500 [1 per cell]

* raw total energy: -3.94 eV/atom

Entry 6:
Entry from the Alexandria database: a relaxed TbHgTe2 crystal (PBE-GGA).

Lattice parameters (Å, degrees): 4.4173 4.4173 23.5271 90.00 90.00 120.00
Space group R3m (No. 160, hexagonal axes)
Asymmetric unit:
Tb 0.0000 0.0000 0.0000 [3 per cell]
Hg 0.0000 0.0000 0.1664 [3 per cell]
Te 0.0000 0.0000 0.4068 [3 per cell]
Te 0.0000 0.0000 0.5901 [3 per cell]

* raw total energy: -3.57 eV/atom

Entry 7:
Entry from the Alexandria database: a relaxed Tb4Hg2Te5 crystal (PBE-GGA).

Lattice parameters (Å, degrees): 24.182 4.299 9.067 90.00 111.99 90.00
Space group C2/m (No. 12)
Asymmetric unit:
Tb 0.000 0.000 0.237 [4 per cell]
Tb 0.128 0.500 0.628 [4 per cell]
Hg 0.235 0.000 0.234 [4 per cell]
Te 0.000 0.500 0.000 [2 per cell]
Te 0.133 0.000 0.397 [4 per cell]
Te 0.133 0.000 0.869 [4 per cell]

* raw total energy: -3.99 eV/atom

Entry 8:
Entry from the Alexandria database: a relaxed TbHgTe2 crystal (PBE-GGA).

Lattice parameters (Å, degrees): 4.447 7.909 8.751 79.50 77.53 87.91
Space group P-1 (No. 2)
Asymmetric unit:
Tb 0.243 0.255 0.489 [2 per cell]
Hg 0.124 0.656 0.004 [2 per cell]
Te 0.161 0.889 0.703 [2 per cell]
Te 0.354 0.623 0.299 [2 per cell]

* raw total energy: -3.64 eV/atom